No. 1
Y2SnO2 | Alexandria | SCAN | single point on PBEsol structure; uncorrected formation energy = -2845 meV/atom
1.0
-1.8847 1.8847 6.9193
1.8847 -1.8847 6.9193
1.8847 1.8847 -6.9193
Y Sn O
2 1 2
Cartesian
0.0000 0.0000 2.3369
0.0000 0.0000 11.5017
0.0000 0.0000 6.9193
1.8847 0.0000 3.4597
0.0000 1.8847 3.4597



No. 2
Zn2Sn3O8 | Alexandria | SCAN | single point on PBEsol structure; distance to the lowest polymorph of the same formula = 0 kJ/mol of formula units; uncorrected formation energy = -1662 meV/atom
1.0
6.2665 0.0000 0.0000
-3.1333 5.4270 0.0000
0.0000 0.0000 9.3007
Zn Sn O
4 6 16
Cartesian
0.0000 3.6180 0.0000
0.0000 3.6180 3.3820
3.1333 1.8090 4.6504
3.1333 1.8090 8.0324
0.0000 1.7804 6.1331
-1.5914 4.5368 6.1331
1.5419 0.8902 1.4828
1.5914 4.5368 6.1331
4.7247 0.8902 1.4828
3.1333 3.6466 1.4828
0.0000 0.0000 0.4101
0.0000 0.0000 5.0604
-1.4160 2.8004 4.9562
0.0000 1.8063 2.4775
-1.5689 4.5238 2.4775
1.5643 0.9032 7.1278
0.0000 3.6180 7.2404
1.4160 2.8004 4.9562
0.0000 5.2531 4.9562
3.1333 0.1739 0.3059
1.7172 2.6265 0.3059
3.1333 1.8090 2.5900
1.5689 4.5238 2.4775
4.7022 0.9032 7.1278
3.1333 3.6206 7.1278
4.5493 2.6265 0.3059



No. 3
Zn3Sn2O7 | Alexandria | SCAN | single point on PBEsol structure; uncorrected formation energy = -1657 meV/atom
1.0
9.4011 -2.6743 0.0000
9.4011 2.6743 0.0000
0.0000 0.0000 5.3163
Zn Sn O
6 4 14
Cartesian
5.5564 1.1903 3.0102
9.4011 1.3619 2.6582
13.2458 1.1903 3.0102
5.5564 -1.1903 0.3521
9.4011 -1.3619 0.0000
13.2458 -1.1903 0.3521
7.4480 1.3521 0.1586
11.3542 1.3521 0.1586
7.4480 -1.3521 2.8168
11.3542 -1.3521 2.8168
2.5638 0.4423 4.5542
9.4011 2.0342 0.6825
5.5304 0.6975 4.9802
2.5638 -0.4423 1.8960
8.0046 0.4406 3.7251
5.5304 -0.6975 2.3220
10.7977 0.4406 3.7251
8.0046 -0.4406 1.0669
13.2718 0.6975 4.9802
10.7977 -0.4406 1.0669
16.2384 0.4423 4.5542
13.2718 -0.6975 2.3220
9.4011 -2.0342 3.3407
16.2384 -0.4423 1.8960



No. 4
Zn2Sn3O8 | Alexandria | SCAN | single point on PBEsol structure; distance to the lowest polymorph of the same formula = 29 kJ/mol of formula units; uncorrected formation energy = -1639 meV/atom
1.0
4.9339 -3.0690 0.0000
4.9339 3.0690 0.0000
-0.9397 0.0000 5.3327
Zn Sn O
2 3 8
Cartesian
1.8871 0.0000 0.3867
7.0409 0.0000 4.9460
4.4640 1.5726 2.6663
4.9339 0.0000 0.0000
4.4640 -1.5726 2.6663
0.7168 0.0000 1.9655
3.5660 1.4045 0.7386
3.2871 0.0000 3.4022
5.3620 1.4045 4.5941
3.5660 -1.4045 0.7386
5.6409 0.0000 1.9305
5.3620 -1.4045 4.5941
8.2112 0.0000 3.3672



No. 5
Zr5Sn3O | Alexandria | SCAN | single point on PBEsol structure; uncorrected formation energy = -1198 meV/atom
1.0
8.3720 0.0000 0.0000
-4.1860 7.2504 0.0000
0.0000 0.0000 5.7041
Zr Sn O
10 6 2
Cartesian
-0.9557 1.6553 1.4260
-3.2303 5.5951 4.2781
1.9114 0.0000 1.4260
0.9557 1.6553 4.2781
0.0000 4.8336 0.0000
0.0000 4.8336 2.8520
4.1860 2.4168 0.0000
4.1860 2.4168 2.8520
6.4606 0.0000 4.2781
3.2303 5.5951 1.4260
-1.6870 2.9219 4.2781
-2.4990 4.3285 1.4260
3.3739 0.0000 4.2781
1.6870 2.9219 1.4260
4.9981 0.0000 1.4260
2.4990 4.3285 4.2781
0.0000 0.0000 0.0000
0.0000 0.0000 2.8520



No. 6
SrO2 | Alexandria | SCAN | single point on PBEsol structure; uncorrected formation energy = -2081 meV/atom
1.0
8.2396 0.0000 0.0000
0.0000 4.9018 0.0000
0.0000 0.0000 4.5693
Sr O
4 8
Cartesian
1.1951 1.2255 0.4487
2.9247 3.6764 2.7333
5.3149 1.2255 1.8360
7.0445 3.6764 4.1206
0.7642 3.6764 1.2771
1.2834 3.6764 4.4482
2.8364 1.2255 2.1636
3.3556 1.2255 3.5617
4.8840 3.6764 1.0076
5.4032 3.6764 2.4057
6.9562 1.2255 0.1211
7.4754 1.2255 3.2922